First-principles (PBE+U) data for a relaxed Li2CoHgF6 crystal, as listed in the Alexandria database.

Cell lengths 5.456, 5.436, 9.783 Å; angles 90.00, 123.08, 90.00 degrees
Space group P2_1/c (No. 14)
Asymmetric unit:
Li1 0.208 0.012 0.240 [4 per cell]
Co1 0.500 0.000 0.000 [2 per cell]
Hg1 0.000 0.000 0.500 [2 per cell]
F1 0.136 0.140 0.778 [4 per cell]
F2 0.233 0.644 0.566 [4 per cell]
F3 0.469 0.181 0.597 [4 per cell]

Values from the calculation:
Magnetic moment   3.000 μB/f.u.
Mass density   5291 kg/m³
ΔE to the lowest computed polymorph   0 meV/atom